This record from Alexandria via LeMat-Bulk describes a relaxed structure of ZnInBr. The functional is GGA-PBE.

Values from the calculation:
Total energy in eV for the cell shown: -13.0

Lattice parameters (Å, degrees): 4.8094 5.8372 6.2300 90.63 111.48 90.54
Space group P1 (No. 1)
Symmetry-distinct sites (fractional):
Zn (0.0000, 0.0000, 0.0000) (multiplicity 1)
Zn (0.4911, 0.2344, 0.9833) (multiplicity 1)
In (0.0579, 0.4645, 0.1203) (multiplicity 1)
In (0.5787, 0.7770, 0.1620) (multiplicity 1)
Br (0.3403, 0.2329, 0.5513) (multiplicity 1)
Br (0.8764, 0.7397, 0.6378) (multiplicity 1)